[1]
Computed, not measured: crystalline La3Al at its relaxed geometry at the GGA-PBEsol level of DFT.

Results
* energy: -5.228 eV/atom
* ΔH_f (0 K): -18.9 kJ/mol of atoms
* calculated density: 6.3 g cm⁻³

abc: 4.8818 4.8818 4.8818
angles: 90.00 90.00 90.00
Closest atoms and distances in Å follow each position.
Fractional coordinates of all 4 atoms:
La (0.5000, 0.0000, 0.5000)  8 La 3.45, 4 Al 3.45
La (0.0000, 0.5000, 0.5000)  8 La 3.45, 4 Al 3.45
La (0.5000, 0.5000, 0.0000)  8 La 3.45, 4 Al 3.45
Al (0.0000, 0.0000, 0.0000)  12 La 3.45

[2]
Computed, not measured: crystalline LaAl at its relaxed geometry at the GGA-PBEsol level of DFT.

Results
* energy: -4.690 eV/atom
* ΔH_f (0 K): 2.8 kJ/mol of atoms
* calculated density: 5.1 g cm⁻³

abc: 3.5396 3.5396 9.9550
angles: 90.00 90.00 120.00
Closest atoms and distances in Å follow each position.
Fractional coordinates of all 4 atoms:
La (0.6667, 0.3333, 0.3316)  3 Al 3.17, 6 La 3.54
La (0.3333, 0.6667, 0.6684)  3 Al 3.17, 6 La 3.54
Al (0.6667, 0.3333, 0.9113)  3 Al 2.70
Al (0.3333, 0.6667, 0.0887)  3 Al 2.70

[3]
Computed, not measured: crystalline La17Al12 at its relaxed geometry at the GGA-PBEsol level of DFT.

Results
* energy: -5.155 eV/atom
* ΔH_f (0 K): -31.6 kJ/mol of atoms
* calculated density: 6.0 g cm⁻³

abc: 9.8915 9.8915 9.8915
angles: 109.47 109.47 109.47
Closest atoms and distances in Å follow each position.
Fractional coordinates of all 29 atoms:
La (0.0000, 0.3550, 0.0000)  3 La 3.11, 6 Al 3.37
La (0.0000, 0.5851, 0.3042)  3 La 3.11-3.45, 5 Al 3.29-3.39
La (0.3550, 0.0000, 0.0000)  3 La 3.11, 6 Al 3.37
La (0.0000, 0.0000, 0.3550)  3 La 3.11, 6 Al 3.37
La (0.3042, 0.0000, 0.5851)  3 La 3.11-3.45, 5 Al 3.29-3.39
La (0.4149, 0.4149, 0.7191)  3 La 3.11-3.45, 5 Al 3.29-3.39
La (0.0000, 0.0000, 0.0000)  12 Al 3.37, 4 La 3.51
La (0.7191, 0.4149, 0.4149)  3 La 3.11-3.45, 5 Al 3.29-3.39
La (0.2809, 0.6958, 0.6958)  3 La 3.11-3.45, 5 Al 3.29-3.39
La (0.5851, 0.0000, 0.3042)  3 La 3.11-3.45, 5 Al 3.29-3.39
La (0.6450, 0.6450, 0.6450)  3 La 3.11, 6 Al 3.37
La (0.3042, 0.5851, 0.0000)  3 La 3.11-3.45, 5 Al 3.29-3.39
La (0.6958, 0.6958, 0.2809)  3 La 3.11-3.45, 5 Al 3.29-3.39
La (0.5851, 0.3042, 0.0000)  3 La 3.11-3.45, 5 Al 3.29-3.39
La (0.0000, 0.3042, 0.5851)  3 La 3.11-3.45, 5 Al 3.29-3.39
La (0.4149, 0.7191, 0.4149)  3 La 3.11-3.45, 5 Al 3.29-3.39
La (0.6958, 0.2809, 0.6958)  3 La 3.11-3.45, 5 Al 3.29-3.39
Al (0.1783, 0.1783, 0.8221)  3 Al 2.87-2.88
Al (0.1783, 0.8221, 0.1783)  3 Al 2.87-2.88
Al (0.6439, 0.0000, 0.8217)  3 Al 2.87-2.88
Al (0.3561, 0.1779, 0.3561)  3 Al 2.87-2.88
Al (0.8217, 0.0000, 0.6439)  3 Al 2.87-2.88
Al (0.0000, 0.6439, 0.8217)  3 Al 2.87-2.88
Al (0.8221, 0.1783, 0.1783)  3 Al 2.87-2.88
Al (0.0000, 0.8217, 0.6439)  3 Al 2.87-2.88
Al (0.8217, 0.6439, 0.0000)  3 Al 2.87-2.88
Al (0.1779, 0.3561, 0.3561)  3 Al 2.87-2.88
Al (0.6439, 0.8217, 0.0000)  3 Al 2.87-2.88
Al (0.3561, 0.3561, 0.1779)  3 Al 2.87-2.88

[4]
Computed, not measured: crystalline LaAl at its relaxed geometry at the GGA-PBEsol level of DFT.

Results
* energy: -5.026 eV/atom
* ΔH_f (0 K): -29.6 kJ/mol of atoms
* calculated density: 5.5 g cm⁻³

abc: 4.0456 6.0576 6.9777
angles: 108.67 90.00 109.51
Closest atoms and distances in Å follow each position.
Fractional coordinates of all 6 atoms:
La (0.2839, 0.5678, 0.1008)  6 Al 3.14-3.50, 3 La 3.18-3.39
La (0.9876, 0.9752, 0.9295)  2 La 3.13-3.18, 7 Al 3.38-3.49
La (0.9680, 0.9361, 0.4713)  3 La 3.13-3.39, 8 Al 3.18-3.50
Al (0.6725, 0.3450, 0.7397)  3 Al 2.72-2.77
Al (0.2782, 0.5563, 0.5961)  4 Al 2.72-2.83
Al (0.6431, 0.2862, 0.3291)  3 Al 2.77-2.83

[5]
Computed, not measured: crystalline La3Al at its relaxed geometry at the GGA-PBEsol level of DFT.

Results
* energy: -5.219 eV/atom
* ΔH_f (0 K): -18.0 kJ/mol of atoms
* calculated density: 6.4 g cm⁻³

abc: 4.8113 4.8113 6.0120
angles: 113.59 113.59 90.00
Closest atoms and distances in Å follow each position.
Fractional coordinates of all 4 atoms:
La (0.5000, 0.5000, 0.0000)  4 Al 3.40, 8 La 3.45
La (0.2500, 0.7500, 0.5000)  8 La 3.40-3.45, 4 Al 3.45
La (0.7500, 0.2500, 0.5000)  8 La 3.40-3.45, 4 Al 3.45
Al (0.0000, 0.0000, 0.0000)  12 La 3.40-3.45

[6]
Computed, not measured: crystalline La3Al at its relaxed geometry at the GGA-PBEsol level of DFT.

Results
* energy: -5.122 eV/atom
* ΔH_f (0 K): -8.7 kJ/mol of atoms
* calculated density: 5.8 g cm⁻³

abc: 6.3280 8.6280 9.2616
angles: 90.00 90.00 90.00
Closest atoms and distances in Å follow each position.
Fractional coordinates of all 16 atoms:
La (0.4085, 0.5471, 0.7500)  3 Al 3.26-3.46, 4 La 3.54-3.63
La (0.3529, 0.8139, 0.0385)  3 Al 3.13-3.20, 2 La 3.43
La (0.6471, 0.1861, 0.5385)  3 Al 3.13-3.20, 2 La 3.43
La (0.1471, 0.3139, 0.0385)  3 Al 3.13-3.20, 2 La 3.43
La (0.0915, 0.0471, 0.7500)  3 Al 3.26-3.46, 4 La 3.54-3.63
La (0.3529, 0.8139, 0.4615)  3 Al 3.13-3.20, 2 La 3.43
La (0.8529, 0.6861, 0.5385)  3 Al 3.13-3.20, 2 La 3.43
La (0.5915, 0.4529, 0.2500)  3 Al 3.26-3.46, 4 La 3.54-3.63
La (0.8529, 0.6861, 0.9615)  3 Al 3.13-3.20, 2 La 3.43
La (0.9085, 0.9529, 0.2500)  3 Al 3.26-3.46, 4 La 3.54-3.63
La (0.6471, 0.1861, 0.9615)  3 Al 3.13-3.20, 2 La 3.43
La (0.1471, 0.3139, 0.4615)  3 Al 3.13-3.20, 2 La 3.43
Al (0.9180, 0.4023, 0.7500)  9 La 3.13-3.46
Al (0.4180, 0.0977, 0.2500)  9 La 3.13-3.46
Al (0.5820, 0.9023, 0.7500)  9 La 3.13-3.46
Al (0.0820, 0.5977, 0.2500)  9 La 3.13-3.46

[7]
Computed, not measured: crystalline LaAl at its relaxed geometry at the GGA-PBEsol level of DFT.

Results
* energy: -5.027 eV/atom
* ΔH_f (0 K): -29.7 kJ/mol of atoms
* calculated density: 4.9 g cm⁻³

abc: 4.2997 4.4805 6.2509
angles: 69.00 90.00 90.00
Closest atoms and distances in Å follow each position.
Fractional coordinates of all 4 atoms:
Al (0.2500, 0.4356, 0.1289)  2 Al 2.62
Al (0.7500, 0.5644, 0.8711)  2 Al 2.62
La (0.7500, 0.8530, 0.2940)  7 Al 3.25-3.37
La (0.2500, 0.1470, 0.7060)  7 Al 3.25-3.37

[8]
Computed, not measured: crystalline LaAl4 at its relaxed geometry at the GGA-PBEsol level of DFT.

Results
* energy: -4.676 eV/atom
* ΔH_f (0 K): -32.2 kJ/mol of atoms
* calculated density: 4.0 g cm⁻³

abc: 4.2757 4.2757 6.4204
angles: 109.45 109.45 90.00
Closest atoms and distances in Å follow each position.
Fractional coordinates of all 5 atoms:
La (0.0000, 0.0000, 0.0000)  16 Al 3.28-3.55
Al (0.6123, 0.6123, 0.2246)  5 Al 2.54-2.65
Al (0.7500, 0.2500, 0.5000)  4 Al 2.65
Al (0.3877, 0.3877, 0.7754)  5 Al 2.54-2.65
Al (0.2500, 0.7500, 0.5000)  4 Al 2.65

[9]
Computed, not measured: crystalline La3Al at its relaxed geometry at the GGA-PBEsol level of DFT.

Results
* energy: -5.205 eV/atom
* ΔH_f (0 K): -16.7 kJ/mol of atoms
* calculated density: 6.4 g cm⁻³

abc: 3.5456 4.5374 7.2074
angles: 90.00 90.00 90.00
Closest atoms and distances in Å follow each position.
Fractional coordinates of all 4 atoms:
Al (0.0000, 0.0000, 0.0000)  10 La 3.28-3.60, 2 Al 3.55
La (0.5000, 0.5000, 0.2180)  1 La 3.14, 4 Al 3.28
La (0.0000, 0.0000, 0.5000)  10 La 3.52-3.55, 2 Al 3.60
La (0.5000, 0.5000, 0.7820)  1 La 3.14, 4 Al 3.28

[10]
Computed, not measured: crystalline LaAl2 at its relaxed geometry at the GGA-PBEsol level of DFT.

Results
* energy: -5.011 eV/atom
* ΔH_f (0 K): -48.3 kJ/mol of atoms
* calculated density: 4.9 g cm⁻³

abc: 5.6989 5.6989 5.6989
angles: 60.00 60.00 60.00
Closest atoms and distances in Å follow each position.
Fractional coordinates of all 6 atoms:
Al (0.6250, 0.1250, 0.1250)  6 Al 2.85
Al (0.1250, 0.6250, 0.1250)  6 Al 2.85
Al (0.1250, 0.1250, 0.6250)  6 Al 2.85
Al (0.1250, 0.1250, 0.1250)  6 Al 2.85
La (0.7500, 0.7500, 0.7500)  12 Al 3.34, 4 La 3.49
La (0.5000, 0.5000, 0.5000)  12 Al 3.34, 4 La 3.49

[11]
Computed, not measured: crystalline La3Al at its relaxed geometry at the GGA-PBEsol level of DFT.

Results
* energy: -5.222 eV/atom
* ΔH_f (0 K): -18.2 kJ/mol of atoms
* calculated density: 6.4 g cm⁻³

abc: 5.3957 6.0969 7.0108
angles: 90.00 90.00 90.00
Closest atoms and distances in Å follow each position.
Fractional coordinates of all 8 atoms:
La (0.5000, 0.6222, 0.0000)  6 La 3.17-3.42, 4 Al 3.29-3.53
La (0.5000, 0.1880, 0.7507)  7 La 3.17-3.54, 4 Al 3.30-3.52
La (0.0000, 0.3778, 0.5000)  6 La 3.17-3.42, 4 Al 3.29-3.53
La (0.0000, 0.8120, 0.7493)  7 La 3.17-3.54, 4 Al 3.30-3.52
La (0.5000, 0.1880, 0.2493)  7 La 3.17-3.54, 4 Al 3.30-3.52
La (0.0000, 0.8120, 0.2507)  7 La 3.17-3.54, 4 Al 3.30-3.52
Al (0.0000, 0.3130, 0.0000)  12 La 3.29-3.53
Al (0.5000, 0.6870, 0.5000)  12 La 3.29-3.53

[12]
Computed, not measured: crystalline La3Al at its relaxed geometry at the GGA-PBEsol level of DFT.

Results
* energy: -5.243 eV/atom
* ΔH_f (0 K): -20.3 kJ/mol of atoms
* calculated density: 6.3 g cm⁻³

abc: 5.3686 7.0753 7.0753
angles: 120.00 90.00 90.00
Closest atoms and distances in Å follow each position.
Fractional coordinates of all 8 atoms:
La (0.7500, 0.1809, 0.3617)  6 La 3.24-3.48, 4 Al 3.27-3.54
La (0.2500, 0.3617, 0.1809)  6 La 3.24-3.48, 4 Al 3.27-3.54
La (0.2500, 0.8191, 0.6383)  6 La 3.24-3.48, 4 Al 3.27-3.54
La (0.2500, 0.8191, 0.1809)  6 La 3.24-3.48, 4 Al 3.27-3.54
La (0.7500, 0.6383, 0.8191)  6 La 3.24-3.48, 4 Al 3.27-3.54
La (0.7500, 0.1809, 0.8191)  6 La 3.24-3.48, 4 Al 3.27-3.54
Al (0.7500, 0.6667, 0.3333)  12 La 3.27-3.54
Al (0.2500, 0.3333, 0.6667)  12 La 3.27-3.54